(1)
Entry from Alexandria via LeMat-Bulk: ZnIr4 at its PBEsol-relaxed geometry (meta-GGA SCAN).

Output
* space-group type: I4/m (87)
* DFT formation energy: -0.07 eV per atom
* spin magnetization: 0.0000 μB/atom
* density of states at the Fermi level: 2.042 states/eV/f.u.
* uncorrected energy: -59.65 eV per atom

Cell lengths 4.670, 4.670, 4.670 Å; angles 99.71, 99.71, 131.51 degrees
Sites, in units of the cell vectors:
Zn 0.000 0.000 0.000
Ir 0.196 0.604 0.800
Ir 0.396 0.196 0.593
Ir 0.604 0.804 0.407
Ir 0.804 0.396 0.200

=====

(2)
Entry from Alexandria via LeMat-Bulk: CaAlH2 at its PBEsol-relaxed geometry (meta-GGA SCAN).

Output
* space-group type: Fm-3m (225)
* spin magnetization: 0.0676 μB/atom
* density of states at the Fermi level: 2.080 states/eV/f.u.
* distance to the lowest polymorph of the same formula: 0.231 eV/atom
* uncorrected energy: -5.86 eV per atom

Cell lengths 4.157, 4.157, 4.157 Å; angles 60.00, 60.00, 60.00 degrees
Sites, in units of the cell vectors:
Ca 0.000 0.000 0.000
Al 0.500 0.500 0.500
H 0.250 0.250 0.250
H 0.750 0.750 0.750

=====

(3)
Entry from Alexandria via LeMat-Bulk: ScFe2Pd2 at its PBEsol-relaxed geometry (meta-GGA SCAN).

Output
* space-group type: I4/mmm (139)
* DFT formation energy: -0.28 eV per atom
* spin magnetization: 1.2029 μB/atom
* density of states at the Fermi level: 2.032 states/eV/f.u.
* uncorrected energy: -23.49 eV per atom

Cell lengths 7.028, 7.028, 7.028 Å; angles 152.06, 152.06, 39.93 degrees
Sites, in units of the cell vectors:
Sc 0.000 0.000 0.000
Fe 0.250 0.750 0.500
Fe 0.750 0.250 0.500
Pd 0.398 0.398 0.000
Pd 0.602 0.602 0.000